[1]
AgIrSe | PBE-GGA | optimized geometry

## Properties
Density of states at the Fermi level   0.51 states/eV/atom
Uncorrected formation energy   0.2163 eV/atom
Polymorph energy (0 for the lowest one)   106 meV/atom
SG   P1 (1)
Magnetization   0.00 μB per formula unit
Energy   -4.849 eV/atom

Cell: 4.4413 5.3428 5.4711 Å, 64.09 81.43 77.24°
Last column: nearest neighbours and their distance in Å.
Fractional positions:
Ag: 0.0000 0.0000 0.0000  4 Ir 2.81-3.04, 2 Ag 2.82-2.93, 3 Se 2.84-3.08
Ag: 0.3953 0.1692 0.2346  3 Se 2.69-2.86, 2 Ir 2.81-2.86, 2 Ag 2.82-2.93
Ir: 0.4893 0.2863 0.6783  2 Se 2.38-2.42, 1 Ir 2.55
Ir: 0.5672 0.7554 0.8158  3 Se 2.44-2.58, 1 Ir 2.55
Se: 0.1277 0.7189 0.6092  3 Ir 2.42-2.58
Se: 0.7860 0.4759 0.2594  2 Ir 2.38-2.44


[2]
CaGdAg | PBE-GGA | optimized geometry

## Properties
Density of states at the Fermi level   1.69 states/eV/atom
Energy of formation   -0.15 eV per atom
Polymorph energy (0 for the lowest one)   0 meV/atom
SG   I4mm (107)
Magnetization   7.65 μB per formula unit
Energy   -6.464 eV/atom

Cell: 7.0510 7.0510 7.0510 Å, 149.90 149.90 43.08°
Last column: nearest neighbours and their distance in Å.
Fractional positions:
Ca: 0.0000 0.0000 0.0000  4 Ag 3.22
Gd: 0.2801 0.2801 0.0000  4 Ag 3.13
Ag: 0.6457 0.6457 0.0000  4 Gd 3.13, 4 Ca 3.22


[3]
Zr2CuPb | PBE-GGA | optimized geometry

## Properties
Density of states at the Fermi level   0.83 states/eV/atom
Energy of formation   -0.09 eV per atom
SG   Pm (6)
Magnetization   0.00 μB per formula unit
Energy   -6.318 eV/atom

Cell: 3.4787 4.1886 6.1029 Å, 90.00 106.54 90.00°
Last column: nearest neighbours and their distance in Å.
Fractional positions:
Zr: 0.0000 0.0000 0.0000  4 Cu 2.89, 3 Pb 3.16-3.20
Zr: 0.3465 0.5000 0.6931  1 Cu 2.77, 4 Pb 3.05
Cu: 0.5815 0.5000 0.1662  2 Pb 2.71, 5 Zr 2.77-2.89
Pb: 0.7300 0.0000 0.4596  2 Cu 2.71


[4]
CuMo6S8 | PBE-GGA | optimized geometry

## Properties
Density of states at the Fermi level   0.66 states/eV/atom
Uncorrected formation energy   -0.6375 eV/atom
SG   P1 (1)
Magnetization   0.00 μB per formula unit
Energy   -7.444 eV/atom

Cell: 6.4949 6.4975 13.0309 Å, 94.26 95.06 93.81°
Last column: nearest neighbours and their distance in Å.
Fractional positions:
Cu: 0.0000 0.0000 0.0000  4 S 2.34-2.41
Cu: 0.1928 0.7755 0.5167  4 S 2.34-2.38
Mo: 0.2599 0.4162 0.2440  5 S 2.42-2.47
Mo: 0.2715 0.3959 0.7444  5 S 2.41-2.50
Mo: 0.4519 0.0851 0.3137  5 S 2.41-2.50
Mo: 0.4610 0.0673 0.8145  5 S 2.42-2.47, 1 Mo 2.71
Mo: 0.5071 0.4634 0.4360  5 S 2.40-2.50
Mo: 0.5114 0.4540 0.9371  5 S 2.43-2.48
Mo: 0.5881 0.2699 0.1509  5 S 2.41-2.47
Mo: 0.5995 0.2591 0.6503  5 S 2.41-2.50
Mo: 0.6464 0.6518 0.2727  5 S 2.42-2.51
Mo: 0.6478 0.6423 0.7709  5 S 2.41-2.47
Mo: 0.8372 0.3129 0.8412  5 S 2.42-2.51
Mo: 0.8367 0.3218 0.3415  5 S 2.41-2.47
S: 0.1875 0.2519 0.4029  4 Mo 2.40-2.47
S: 0.1931 0.2321 0.9053  1 Cu 2.38, 4 Mo 2.43-2.50
S: 0.2443 0.0813 0.1426  1 Cu 2.34, 3 Mo 2.45-2.50
S: 0.2668 0.0530 0.6426  1 Cu 2.34, 3 Mo 2.46-2.50
S: 0.3202 0.7385 0.3515  1 Cu 2.38, 4 Mo 2.42-2.51
S: 0.3297 0.7175 0.8514  4 Mo 2.41-2.47
S: 0.4278 0.5810 0.6115  1 Cu 2.37, 4 Mo 2.41-2.50
S: 0.4289 0.5911 0.1106  4 Mo 2.43-2.48
S: 0.6696 0.1293 0.9790  1 Cu 2.36, 4 Mo 2.42-2.51
S: 0.6717 0.1428 0.4737  4 Mo 2.41-2.47
S: 0.7703 0.9996 0.2352  4 Mo 2.41-2.46
S: 0.7780 0.9918 0.7332  4 Mo 2.42-2.47
S: 0.8482 0.6597 0.9397  1 Cu 2.41, 3 Mo 2.45-2.50
S: 0.8537 0.6569 0.4427  1 Cu 2.38, 3 Mo 2.45-2.50
S: 0.9081 0.4847 0.1820  4 Mo 2.41-2.47
S: 0.9180 0.4761 0.6830  4 Mo 2.41-2.47


[5]
SiI2Br | PBE-GGA | optimized geometry

## Properties
Density of states at the Fermi level   1.37 states/eV/atom
Uncorrected formation energy   0.2158 eV/atom
Polymorph energy (0 for the lowest one)   0 meV/atom
SG   I-42d (122)
Magnetization   0.00 μB per formula unit
Energy   -2.333 eV/atom

Cell: 7.2574 7.2574 7.2574 Å, 110.92 110.92 106.62°
Last column: nearest neighbours and their distance in Å.
Fractional positions:
Si: 0.0000 0.0000 0.0000  4 I 2.74
Si: 0.7500 0.2500 0.5000  4 I 2.74
I: 0.0514 0.6250 0.9264  2 Si 2.74
I: 0.3750 0.3014 0.4264  2 Si 2.74
I: 0.6986 0.1250 0.0736  2 Si 2.74
I: 0.8750 0.9486 0.5736  2 Si 2.74
Br: 0.2500 0.7500 0.5000  4 I 3.54
Br: 0.5000 0.5000 0.0000  4 I 3.54


[6]
ZrU3N4 | PBE-GGA | optimized geometry

## Properties
Density of states at the Fermi level   1.73 states/eV/atom
Uncorrected formation energy   -1.4267 eV/atom
SG   P2/c (13)
Magnetization   3.63 μB per formula unit
Energy   -10.891 eV/atom

Cell: 5.9152 6.7787 5.8621 Å, 90.00 109.49 90.00°
Last column: nearest neighbours and their distance in Å.
Fractional positions:
Zr: 0.0000 0.1239 0.2500  6 N 2.34-2.36
Zr: 0.0000 0.8761 0.7500  6 N 2.34-2.36
U: 0.0000 0.3734 0.7500  6 N 2.38-2.41
U: 0.0000 0.6266 0.2500  6 N 2.38-2.41
U: 0.5000 0.1218 0.7500  6 N 2.40-2.45
U: 0.5000 0.3739 0.2500  6 N 2.42-2.47
U: 0.5000 0.6261 0.7500  6 N 2.42-2.47
U: 0.5000 0.8782 0.2500  6 N 2.40-2.45
N: 0.2390 0.1215 0.9974  2 Zr 2.35-2.36, 4 U 2.38-2.45
N: 0.2390 0.8785 0.4974  2 Zr 2.35-2.36, 4 U 2.38-2.45
N: 0.2416 0.3680 0.4947  1 Zr 2.34, 5 U 2.39-2.47
N: 0.2416 0.6320 0.9947  1 Zr 2.34, 5 U 2.39-2.47
N: 0.7584 0.3680 0.0053  1 Zr 2.34, 5 U 2.39-2.47
N: 0.7584 0.6320 0.5053  1 Zr 2.34, 5 U 2.39-2.47
N: 0.7610 0.1215 0.5026  2 Zr 2.35-2.36, 4 U 2.38-2.45
N: 0.7610 0.8785 0.0026  2 Zr 2.35-2.36, 4 U 2.38-2.45